# Nd2Ni2B2CN

A relaxed structure of Nd2Ni2B2CN (PBE, the Open Quantum Materials Database).

a = 3.7054 Å, b = 3.7054 Å, c = 7.4639 Å
α = 90.00°, β = 90.00°, γ = 90.00°
Space group P4mm (No. 99)
Inequivalent atoms, fractional coordinates:
1 Nd 0.0000 0.0000 0.0000 x1
2 Nd 0.5000 0.5000 0.3471 x1
3 Ni 0.0000 0.5000 0.6679 x2
4 B 0.0000 0.0000 0.5262 x1
5 B 0.5000 0.5000 0.8052 x1
6 C 0.5000 0.5000 0.0066 x1
7 N 0.0000 0.0000 0.3323 x1

---

# Tm2Ni2B2CN

A relaxed structure of Tm2Ni2B2CN (PBE, the Open Quantum Materials Database).

a = 3.4775 Å, b = 3.4775 Å, c = 7.5200 Å
α = 90.00°, β = 90.00°, γ = 90.00°
Space group P4mm (No. 99)
Inequivalent atoms, fractional coordinates:
1 Tm 0.0000 0.0000 0.0000 x1
2 Tm 0.5000 0.5000 0.3259 x1
3 Ni 0.0000 0.5000 0.6562 x2
4 B 0.0000 0.0000 0.5010 x1
5 B 0.5000 0.5000 0.8168 x1
6 C 0.5000 0.5000 0.0158 x1
7 N 0.0000 0.0000 0.3077 x1

---

| no. | total DFT energy (no corrections) (eV/atom) |
| --- | --- |
| 1 | -7.133 |
| 2 | -7.223 |